First-principles (GGA-PBE) data for an optimized crystal structure of Ce2EuAu, as listed in Alexandria.

The space-group type is P4/mmm (123). The value obtained for the energy above the most stable polymorph in this dataset is 0 meV/atom.

a = 3.8891 Å, b = 3.8891 Å, c = 7.9534 Å
α = 90.00°, β = 90.00°, γ = 90.00°
Closest atoms and distances in Å follow each position.
Element x y z (fractional)
1 Ce 0.0000 0.0000 0.1878  1 Ce 2.99, 4 Au 3.13
2 Ce 0.0000 0.0000 0.8122  1 Ce 2.99, 4 Au 3.13
3 Eu 0.5000 0.5000 0.5000  8 Ce 3.71, 4 Eu 3.89, 2 Au 3.98
4 Au 0.5000 0.5000 0.0000  8 Ce 3.13

---

First-principles (GGA-PBE) data for an optimized crystal structure of CeEu2Au, as listed in Alexandria.

The space-group type is P4/mmm (123).

a = 3.7670 Å, b = 3.7670 Å, c = 8.9783 Å
α = 90.00°, β = 90.00°, γ = 90.00°
Closest atoms and distances in Å follow each position.
Element x y z (fractional)
1 Ce 0.0000 0.0000 0.0000  4 Ce 3.77, 8 Eu 3.79
2 Eu 0.5000 0.5000 0.2996  4 Au 3.21, 1 Eu 3.60
3 Eu 0.5000 0.5000 0.7004  4 Au 3.21, 1 Eu 3.60
4 Au 0.0000 0.0000 0.5000  8 Eu 3.21

---

First-principles (GGA-PBE) data for an optimized crystal structure of Ce2EuAu, as listed in Alexandria.

The space-group type is Fm-3m (225). The value obtained for the energy above the most stable polymorph in this dataset is 86 meV/atom.

a = 5.3255 Å, b = 5.3255 Å, c = 5.3255 Å
α = 60.00°, β = 60.00°, γ = 60.00°
Closest atoms and distances in Å follow each position.
Element x y z (fractional)
1 Ce 0.2500 0.2500 0.2500  4 Au 3.26, 4 Eu 3.26
2 Ce 0.7500 0.7500 0.7500  4 Eu 3.26, 4 Au 3.26
3 Eu 0.0000 0.0000 0.0000  8 Ce 3.26
4 Au 0.5000 0.5000 0.5000  8 Ce 3.26

---

First-principles (GGA-PBE) data for an optimized crystal structure of CeEuAu, as listed in Alexandria.

The space-group type is I4mm (107). The value obtained for the energy above the most stable polymorph in this dataset is 0 meV/atom.

a = 6.9972 Å, b = 6.9972 Å, c = 6.9972 Å
α = 148.89°, β = 148.89°, γ = 44.57°
Closest atoms and distances in Å follow each position.
Element x y z (fractional)
1 Ce 0.0000 0.0000 0.0000  4 Au 3.11
2 Eu 0.7271 0.7271 0.0000  4 Au 3.27, 1 Ce 3.53
3 Au 0.3750 0.3750 0.0000  4 Ce 3.11, 4 Eu 3.27

---

| no. | formation enthalpy at 0 K (eV/atom) |
| --- | --- |
| 1 | -0.161 |
| 2 | -0.259 |
| 3 | -0.075 |
| 4 | -0.368 |